# 1
Entry from Alexandria via LeMat-Bulk: a relaxed Os2WSe crystal (GGA-PBE).

Computed properties:
Total magnetic moment, μB per cell: 0.0
Raw formation energy, meV/atom: 822
E_tot, eV/cell: -71.2
Calculated density, g/cm³: 17.3

a = 3.9085 Å, b = 3.9085 Å, c = 8.0711 Å
α = 90.00°, β = 90.00°, γ = 90.00°
With the nearest neighbours (Å) after each atom.
Space group I-4m2 (No. 119)
Unique sites:
Os: 0.0000 0.0000 0.0000 x2  4 W 2.76, 4 Os 2.81, 4 Se 2.81
Os: 0.0000 0.5000 0.2500 x2  4 Se 2.76, 4 Os 2.81, 4 W 2.81
W: 0.0000 0.0000 0.5000 x2  8 Os 2.76-2.81, 4 Se 2.81
Se: 0.0000 0.5000 0.7500 x2  8 Os 2.76-2.81, 4 W 2.81



# 2
Entry from Alexandria via LeMat-Bulk: a relaxed OsW2Se crystal (GGA-PBE).

Computed properties:
Total magnetic moment, μB per cell: 0.0
Raw formation energy, meV/atom: 470
E_tot, eV/cell: -38.7
Calculated density, g/cm³: 16.9

a = 2.8792 Å, b = 4.0939 Å, c = 5.4520 Å
α = 90.00°, β = 102.60°, γ = 90.00°
With the nearest neighbours (Å) after each atom.
Space group P2/m (No. 10)
Unique sites:
Os: 0.0000 0.0000 0.0000 x1  2 Se 2.73, 8 W 2.77-2.90, 2 Os 2.88
W: 0.4418 0.5000 0.7516 x2  2 Se 2.63, 4 W 2.66-2.88, 4 Os 2.77-2.90
Se: 0.0000 0.0000 0.5000 x1  4 W 2.63, 2 Os 2.73, 2 Se 2.88



# 3
Entry from Alexandria via LeMat-Bulk: a relaxed OsWSe2 crystal (GGA-PBE).

Computed properties:
Total magnetic moment, μB per cell: 0.0
Raw formation energy, meV/atom: 635
Excess energy over the best structure of this formula in the dataset, meV per atom: 531
E_tot, eV/cell: -57.2
Calculated density, g/cm³: 13.3

a = 2.9816 Å, b = 4.4420 Å, c = 10.0166 Å
α = 90.00°, β = 90.00°, γ = 90.00°
With the nearest neighbours (Å) after each atom.
Space group Imm2 (No. 44)
Unique sites:
Os: 0.0000 0.0000 0.0000 x2  6 Se 2.69-2.75, 2 W 2.71, 2 Os 2.98
W: 0.0000 0.5000 0.2743 x2  2 Os 2.71, 6 Se 2.71-2.90, 2 W 2.98
Se: 0.0000 0.0000 0.5259 x2  4 Os 2.69, 2 W 2.90, 2 Se 2.98
Se: 0.0000 0.5000 0.7309 x2  4 W 2.71, 2 Os 2.75, 4 Se 2.98-3.02



# 4
Entry from Alexandria via LeMat-Bulk: a relaxed Os2WSe crystal (GGA-PBE).

Computed properties:
Total magnetic moment, μB per cell: 0.0
Raw formation energy, meV/atom: 481
E_tot, eV/cell: -73.9
Calculated density, g/cm³: 17.1

a = 9.6783 Å, b = 2.8833 Å, c = 4.4837 Å
α = 90.00°, β = 92.30°, γ = 90.00°
With the nearest neighbours (Å) after each atom.
Space group C2/m (No. 12)
Unique sites:
Os: 0.2230 0.0000 0.2337 x4  1 Se 2.51, 2 Os 2.61, 2 W 2.77
W: 0.0000 0.5000 0.0000 x2  4 Se 2.67, 6 Os 2.77-2.92, 2 W 2.88
Se: 0.0000 0.0000 0.5000 x2  2 Os 2.51, 4 W 2.67



# 5
Entry from Alexandria via LeMat-Bulk: a relaxed OsW2Se crystal (GGA-PBE).

Computed properties:
Total magnetic moment, μB per cell: 0.0
Raw formation energy, meV/atom: 482
E_tot, eV/cell: -77.4
Calculated density, g/cm³: 17.0

a = 3.0303 Å, b = 4.5375 Å, c = 9.0270 Å
α = 90.00°, β = 90.00°, γ = 90.00°
With the nearest neighbours (Å) after each atom.
Space group Immm (No. 71)
Unique sites:
Os: 0.0000 0.0000 0.0000 x2  4 Se 2.73, 4 W 2.85, 2 Os 3.03
W: 0.0000 0.5000 0.2322 x4  2 Se 2.59, 4 W 2.75, 2 Os 2.85
Se: 0.0000 0.0000 0.5000 x2  4 W 2.59, 4 Os 2.73



# 6
Entry from Alexandria via LeMat-Bulk: a relaxed OsW4Se crystal (GGA-PBE).

Computed properties:
Total magnetic moment, μB per cell: 0.0
Raw formation energy, meV/atom: 950
E_tot, eV/cell: -243.3
Calculated density, g/cm³: 16.2

a = 7.4428 Å, b = 7.4428 Å, c = 7.4428 Å
α = 90.00°, β = 90.00°, γ = 90.00°
With the nearest neighbours (Å) after each atom.
Space group F-43m (No. 216)
Unique sites:
Os: 0.0000 0.0000 0.0000 x4  12 W 3.09, 4 Se 3.22
W: 0.1240 0.1240 0.3760 x16  6 W 2.61-2.65
Se: 0.2500 0.2500 0.7500 x4  12 W 3.08, 4 Os 3.22



# 7
Entry from Alexandria via LeMat-Bulk: a relaxed OsW2Se crystal (GGA-PBE).

Computed properties:
Total magnetic moment, μB per cell: 0.0
Raw formation energy, meV/atom: 414
E_tot, eV/cell: -77.9
Calculated density, g/cm³: 16.8

a = 9.3554 Å, b = 2.9721 Å, c = 4.7092 Å
α = 90.00°, β = 105.85°, γ = 90.00°
With the nearest neighbours (Å) after each atom.
Space group Cm (No. 8)
Unique sites:
Os: 0.0000 0.0000 0.0000 x2  7 W 2.61-2.81, 2 Se 2.85
W: 0.2617 0.0000 0.8698 x2  3 Os 2.61-2.68, 4 Se 2.71-2.87
W: 0.4874 0.0000 0.4882 x2  3 Se 2.62-2.70, 4 Os 2.77-2.81
Se: 0.2475 0.5000 0.3419 x2  7 W 2.62-2.87, 2 Os 2.85



# 8
Entry from Alexandria via LeMat-Bulk: a relaxed OsWSe2 crystal (GGA-PBE).

Computed properties:
Total magnetic moment, μB per cell: 0.0
Raw formation energy, meV/atom: 240
Excess energy over the best structure of this formula in the dataset, meV per atom: 135
E_tot, eV/cell: -60.4
Calculated density, g/cm³: 9.3

a = 3.6678 Å, b = 3.9003 Å, c = 13.2521 Å
α = 90.00°, β = 90.00°, γ = 90.00°
With the nearest neighbours (Å) after each atom.
Space group Immm (No. 71)
Unique sites:
Os: 0.0000 0.0000 0.0000 x2  4 Se 2.55, 4 W 2.68
W: 0.0000 0.0000 0.5000 x2  4 Se 2.64, 4 Os 2.68
Se: 0.0000 0.5000 0.3659 x4  2 Os 2.55, 2 W 2.64



# 9
Entry from Alexandria via LeMat-Bulk: a relaxed OsWSe2 crystal (GGA-PBE).

Computed properties:
Total magnetic moment, μB per cell: 0.0
Raw formation energy, meV/atom: 295
Excess energy over the best structure of this formula in the dataset, meV per atom: 191
E_tot, eV/cell: -59.9
Calculated density, g/cm³: 8.9

a = 8.9891 Å, b = 3.2526 Å, c = 6.7816 Å
α = 90.00°, β = 92.88°, γ = 90.00°
With the nearest neighbours (Å) after each atom.
Space group Cm (No. 8)
Unique sites:
Os: 0.0000 0.0000 0.0000 x2  3 Se 2.51-2.55, 3 W 2.55-2.59
W: 0.2176 0.5000 0.9431 x2  4 Se 2.52-2.77, 3 Os 2.55-2.59
Se: 0.1289 0.0000 0.6798 x2  1 Os 2.51, 2 W 2.52
Se: 0.3652 0.0000 0.2198 x2  2 Os 2.55, 2 W 2.77



# 10
Entry from Alexandria via LeMat-Bulk: a relaxed OsW3Se crystal (GGA-PBE).

Computed properties:
Total magnetic moment, μB per cell: 0.0
Raw formation energy, meV/atom: 2061
Excess energy over the best structure of this formula in the dataset, meV per atom: 159
E_tot, eV/cell: -43.3
Calculated density, g/cm³: 12.5

a = 4.7796 Å, b = 4.7796 Å, c = 4.7796 Å
α = 90.00°, β = 90.00°, γ = 90.00°
With the nearest neighbours (Å) after each atom.
Space group Pm-3m (No. 221)
Unique sites:
Os: 0.0000 0.0000 0.0000 x1  6 W 2.39
W: 0.0000 0.0000 0.5000 x3  2 Os 2.39
Se: 0.5000 0.5000 0.5000 x1  12 W 3.38



# 11
Entry from Alexandria via LeMat-Bulk: a relaxed Os2WSe crystal (GGA-PBE).

Computed properties:
Total magnetic moment, μB per cell: 0.0
Raw formation energy, meV/atom: 607
E_tot, eV/cell: -36.5
Calculated density, g/cm³: 17.5

a = 2.9077 Å, b = 4.5545 Å, c = 4.6167 Å
α = 90.00°, β = 90.00°, γ = 90.00°
With the nearest neighbours (Å) after each atom.
Space group Pmmm (No. 47)
Unique sites:
Os: 0.0000 0.0000 0.0000 x1  4 Se 2.70, 6 Os 2.73-2.91
Os: 0.5000 0.0000 0.5000 x1  4 W 2.70, 6 Os 2.73-2.91
W: 0.0000 0.5000 0.5000 x1  4 Os 2.70, 4 Se 2.73, 2 W 2.91
Se: 0.5000 0.5000 0.0000 x1  4 Os 2.70, 4 W 2.73, 2 Se 2.91



# 12
Entry from Alexandria via LeMat-Bulk: a relaxed OsWSe2 crystal (GGA-PBE).

Computed properties:
Total magnetic moment, μB per cell: 0.0
Raw formation energy, meV/atom: 416
Excess energy over the best structure of this formula in the dataset, meV per atom: 311
E_tot, eV/cell: -88.5
Calculated density, g/cm³: 12.6

a = 3.1085 Å, b = 3.1085 Å, c = 25.0523 Å
α = 90.00°, β = 90.00°, γ = 120.00°
With the nearest neighbours (Å) after each atom.
Space group R-3m (No. 166, hexagonal axes)
Unique sites:
Os: 0.0000 0.0000 0.0000 x3  2 Se 2.37
W: 0.0000 0.0000 0.5000 x3  6 Se 2.55
Se: 0.0000 0.0000 0.0946 x6  1 Os 2.37, 3 W 2.55